# PBE Dy4Ho8Er, relaxed
data_Dy4Ho8Er
_symmetry_space_group_name_H-M 'P 1'
_symmetry_Int_Tables_number 1
_symmetry_space_group_name_Hall 'P 1'
_cell_length_a 9.971
_cell_length_b 9.971
_cell_length_c 9.971
_cell_angle_alpha 42.42
_cell_angle_beta 42.42
_cell_angle_gamma 42.42
loop_
_atom_site_label
_atom_site_type_symbol
_atom_site_fract_x
_atom_site_fract_y
_atom_site_fract_z
_atom_site_occupancy
Dy1 Dy 0.000 0.000 0.000 1
Dy2 Dy 0.000 0.500 0.500 1
Dy3 Dy 0.500 0.000 0.500 1
Dy4 Dy 0.500 0.500 0.000 1
Ho1 Ho 0.198 0.750 0.750 1
Ho2 Ho 0.215 0.215 0.215 1
Ho3 Ho 0.250 0.250 0.802 1
Ho4 Ho 0.250 0.802 0.250 1
Ho5 Ho 0.750 0.198 0.750 1
Ho6 Ho 0.750 0.750 0.198 1
Ho7 Ho 0.785 0.785 0.785 1
Ho8 Ho 0.802 0.250 0.250 1
Er1 Er 0.500 0.500 0.500 1
# Raw total energy = -56.691 eV per formula unit
# Formation enthalpy at 0 K = 0.22 eV/atom
# N(E_F) = 15.5 states/eV/f.u.



# PBE Dy4Ho4Er5, relaxed
data_Dy4Ho4Er5
_symmetry_space_group_name_H-M 'P 1'
_symmetry_Int_Tables_number 1
_symmetry_space_group_name_Hall 'P 1'
_cell_length_a 9.300
_cell_length_b 9.300
_cell_length_c 9.300
_cell_angle_alpha 94.08
_cell_angle_beta 94.08
_cell_angle_gamma 149.05
loop_
_atom_site_label
_atom_site_type_symbol
_atom_site_fract_x
_atom_site_fract_y
_atom_site_fract_z
_atom_site_occupancy
Dy1 Dy 0.077 0.616 0.693 1
Dy2 Dy 0.384 0.077 0.461 1
Dy3 Dy 0.616 0.923 0.539 1
Dy4 Dy 0.923 0.384 0.307 1
Ho1 Ho 0.154 0.230 0.384 1
Ho2 Ho 0.230 0.846 0.077 1
Ho3 Ho 0.770 0.154 0.923 1
Ho4 Ho 0.846 0.770 0.616 1
Er1 Er 0.000 0.000 0.000 1
Er2 Er 0.308 0.461 0.770 1
Er3 Er 0.461 0.692 0.153 1
Er4 Er 0.539 0.308 0.847 1
Er5 Er 0.692 0.539 0.230 1
# Raw total energy = -59.278 eV per formula unit
# Formation enthalpy at 0 K = 0.02 eV/atom
# N(E_F) = 17.1 states/eV/f.u.



# PBE Dy5Ho2Er, relaxed
data_Dy5Ho2Er
_symmetry_space_group_name_H-M 'P 1'
_symmetry_Int_Tables_number 1
_symmetry_space_group_name_Hall 'P 1'
_cell_length_a 7.051
_cell_length_b 14.104
_cell_length_c 4.979
_cell_angle_alpha 90.00
_cell_angle_beta 90.00
_cell_angle_gamma 90.00
loop_
_atom_site_label
_atom_site_type_symbol
_atom_site_fract_x
_atom_site_fract_y
_atom_site_fract_z
_atom_site_occupancy
Dy1 Dy 0.000 0.000 0.000 1
Dy2 Dy 0.000 0.250 0.000 1
Dy3 Dy 0.000 0.750 0.000 1
Dy4 Dy 0.250 0.125 0.500 1
Dy5 Dy 0.250 0.625 0.500 1
Dy6 Dy 0.500 0.250 0.000 1
Dy7 Dy 0.500 0.500 0.000 1
Dy8 Dy 0.500 0.750 0.000 1
Dy9 Dy 0.750 0.375 0.500 1
Dy10 Dy 0.750 0.875 0.500 1
Ho1 Ho 0.250 0.375 0.500 1
Ho2 Ho 0.250 0.875 0.500 1
Ho3 Ho 0.750 0.125 0.500 1
Ho4 Ho 0.750 0.625 0.500 1
Er1 Er 0.000 0.500 0.000 1
Er2 Er 0.500 0.000 0.000 1
# Raw total energy = -36.602 eV per formula unit
# Formation enthalpy at 0 K = 0.02 eV/atom
# N(E_F) = 8.8 states/eV/f.u.



# PBE Dy6HoEr12, relaxed
data_Dy6HoEr12
_symmetry_space_group_name_H-M 'P 1'
_symmetry_Int_Tables_number 1
_symmetry_space_group_name_Hall 'P 1'
_cell_length_a 9.185
_cell_length_b 9.185
_cell_length_c 9.185
_cell_angle_alpha 107.11
_cell_angle_beta 107.11
_cell_angle_gamma 107.11
loop_
_atom_site_label
_atom_site_type_symbol
_atom_site_fract_x
_atom_site_fract_y
_atom_site_fract_z
_atom_site_occupancy
Dy1 Dy 0.291 0.684 0.684 1
Dy2 Dy 0.316 0.316 0.709 1
Dy3 Dy 0.316 0.709 0.316 1
Dy4 Dy 0.684 0.291 0.684 1
Dy5 Dy 0.684 0.684 0.291 1
Dy6 Dy 0.709 0.316 0.316 1
Ho1 Ho 0.000 0.000 0.000 1
Er1 Er 0.100 0.333 0.333 1
Er2 Er 0.112 0.500 0.888 1
Er3 Er 0.112 0.888 0.500 1
Er4 Er 0.333 0.100 0.333 1
Er5 Er 0.333 0.333 0.100 1
Er6 Er 0.500 0.112 0.888 1
Er7 Er 0.500 0.888 0.112 1
Er8 Er 0.667 0.667 0.900 1
Er9 Er 0.667 0.900 0.667 1
Er10 Er 0.888 0.112 0.500 1
Er11 Er 0.888 0.500 0.112 1
Er12 Er 0.900 0.667 0.667 1
# Raw total energy = -78.247 eV per formula unit
# Formation enthalpy at 0 K = 0.46 eV/atom
# N(E_F) = 30.8 states/eV/f.u.
# Energy above the lowest structure with this stoichiometry = 5.64 eV per formula unit



# PBE DyHo2Er4, relaxed
data_DyHo2Er4
_symmetry_space_group_name_H-M 'P 1'
_symmetry_Int_Tables_number 1
_symmetry_space_group_name_Hall 'P 1'
_cell_length_a 5.944
_cell_length_b 6.539
_cell_length_c 11.451
_cell_angle_alpha 90.00
_cell_angle_beta 104.33
_cell_angle_gamma 90.00
loop_
_atom_site_label
_atom_site_type_symbol
_atom_site_fract_x
_atom_site_fract_y
_atom_site_fract_z
_atom_site_occupancy
Dy1 Dy 0.027 0.250 0.360 1
Dy2 Dy 0.973 0.750 0.640 1
Ho1 Ho 0.161 0.250 0.945 1
Ho2 Ho 0.402 0.750 0.507 1
Ho3 Ho 0.598 0.250 0.493 1
Ho4 Ho 0.839 0.750 0.055 1
Er1 Er 0.147 0.250 0.660 1
Er2 Er 0.276 0.750 0.924 1
Er3 Er 0.344 0.505 0.210 1
Er4 Er 0.344 0.995 0.210 1
Er5 Er 0.656 0.005 0.790 1
Er6 Er 0.656 0.495 0.790 1
Er7 Er 0.724 0.250 0.076 1
Er8 Er 0.853 0.750 0.340 1
# Raw total energy = -31.019 eV per formula unit
# Formation enthalpy at 0 K = 0.14 eV/atom
# N(E_F) = 12.0 states/eV/f.u.
# Energy above the lowest structure with this stoichiometry = 0.96 eV per formula unit



# PBE DyHo7Er5, relaxed
data_DyHo7Er5
_symmetry_space_group_name_H-M 'P 1'
_symmetry_Int_Tables_number 1
_symmetry_space_group_name_Hall 'P 1'
_cell_length_a 8.596
_cell_length_b 8.596
_cell_length_c 8.596
_cell_angle_alpha 134.79
_cell_angle_beta 100.05
_cell_angle_gamma 96.95
loop_
_atom_site_label
_atom_site_type_symbol
_atom_site_fract_x
_atom_site_fract_y
_atom_site_fract_z
_atom_site_occupancy
Dy1 Dy 0.000 0.000 0.000 1
Ho1 Ho 0.228 0.557 0.671 1
Ho2 Ho 0.307 0.307 0.000 1
Ho3 Ho 0.385 0.057 0.329 1
Ho4 Ho 0.614 0.614 0.000 1
Ho5 Ho 0.728 0.057 0.671 1
Ho6 Ho 0.806 0.306 0.500 1
Ho7 Ho 0.886 0.557 0.329 1
Er1 Er 0.034 0.040 0.461 1
Er2 Er 0.034 0.574 0.995 1
Er3 Er 0.307 0.807 0.500 1
Er4 Er 0.579 0.040 0.005 1
Er5 Er 0.579 0.574 0.539 1
# Raw total energy = -56.074 eV per formula unit
# Formation enthalpy at 0 K = 0.26 eV/atom
# N(E_F) = 25.6 states/eV/f.u.



# PBE Dy2HoEr3, relaxed
data_Dy2HoEr3
_symmetry_space_group_name_H-M 'P 1'
_symmetry_Int_Tables_number 1
_symmetry_space_group_name_Hall 'P 1'
_cell_length_a 9.299
_cell_length_b 9.299
_cell_length_c 6.078
_cell_angle_alpha 90.03
_cell_angle_beta 90.03
_cell_angle_gamma 44.39
loop_
_atom_site_label
_atom_site_type_symbol
_atom_site_fract_x
_atom_site_fract_y
_atom_site_fract_z
_atom_site_occupancy
Dy1 Dy 0.041 0.292 0.417 1
Dy2 Dy 0.292 0.041 0.917 1
Dy3 Dy 0.708 0.959 0.083 1
Dy4 Dy 0.959 0.708 0.583 1
Ho1 Ho 0.375 0.625 0.750 1
Ho2 Ho 0.625 0.375 0.250 1
Er1 Er 0.125 0.875 0.250 1
Er2 Er 0.209 0.458 0.083 1
Er3 Er 0.458 0.209 0.583 1
Er4 Er 0.542 0.791 0.417 1
Er5 Er 0.791 0.542 0.917 1
Er6 Er 0.875 0.125 0.750 1
# Raw total energy = -27.340 eV per formula unit
# Formation enthalpy at 0 K = 0.02 eV/atom
# N(E_F) = 8.3 states/eV/f.u.
# Energy above the lowest structure with this stoichiometry = 0.00 eV per formula unit



# PBE Dy2Ho5Er, relaxed
data_Dy2Ho5Er
_symmetry_space_group_name_H-M 'P 1'
_symmetry_Int_Tables_number 1
_symmetry_space_group_name_Hall 'P 1'
_cell_length_a 7.036
_cell_length_b 14.072
_cell_length_c 4.971
_cell_angle_alpha 90.00
_cell_angle_beta 90.00
_cell_angle_gamma 90.00
loop_
_atom_site_label
_atom_site_type_symbol
_atom_site_fract_x
_atom_site_fract_y
_atom_site_fract_z
_atom_site_occupancy
Dy1 Dy 0.250 0.125 0.000 1
Dy2 Dy 0.250 0.625 0.000 1
Dy3 Dy 0.750 0.375 0.000 1
Dy4 Dy 0.750 0.875 0.000 1
Ho1 Ho 0.000 0.000 0.500 1
Ho2 Ho 0.001 0.250 0.500 1
Ho3 Ho 0.250 0.375 0.000 1
Ho4 Ho 0.250 0.875 0.000 1
Ho5 Ho 0.499 0.750 0.500 1
Ho6 Ho 0.500 0.500 0.500 1
Ho7 Ho 0.501 0.250 0.500 1
Ho8 Ho 0.750 0.125 0.000 1
Ho9 Ho 0.750 0.625 0.000 1
Ho10 Ho 0.999 0.750 0.500 1
Er1 Er 0.000 0.500 0.500 1
Er2 Er 0.500 0.000 0.500 1
# Raw total energy = -36.522 eV per formula unit
# Formation enthalpy at 0 K = 0.02 eV/atom
# N(E_F) = 9.1 states/eV/f.u.



# PBE Dy2HoEr7, relaxed
data_Dy2HoEr7
_symmetry_space_group_name_H-M 'P 1'
_symmetry_Int_Tables_number 1
_symmetry_space_group_name_Hall 'P 1'
_cell_length_a 6.069
_cell_length_b 6.081
_cell_length_c 9.269
_cell_angle_alpha 102.63
_cell_angle_beta 109.00
_cell_angle_gamma 99.57
loop_
_atom_site_label
_atom_site_type_symbol
_atom_site_fract_x
_atom_site_fract_y
_atom_site_fract_z
_atom_site_occupancy
Dy1 Dy 0.100 0.000 0.200 1
Dy2 Dy 0.900 0.000 0.800 1
Ho1 Ho 0.500 0.500 0.500 1
Er1 Er 0.100 0.500 0.700 1
Er2 Er 0.300 0.000 0.600 1
Er3 Er 0.300 0.500 0.100 1
Er4 Er 0.500 0.000 0.000 1
Er5 Er 0.700 0.000 0.400 1
Er6 Er 0.700 0.500 0.900 1
Er7 Er 0.900 0.500 0.300 1
# Raw total energy = -45.493 eV per formula unit
# Formation enthalpy at 0 K = 0.02 eV/atom
# N(E_F) = 14.2 states/eV/f.u.
# Energy above the lowest structure with this stoichiometry = 0.00 eV per formula unit



# PBE Dy5HoEr4, relaxed
data_Dy5HoEr4
_symmetry_space_group_name_H-M 'P 1'
_symmetry_Int_Tables_number 1
_symmetry_space_group_name_Hall 'P 1'
_cell_length_a 7.788
_cell_length_b 7.788
_cell_length_c 7.788
_cell_angle_alpha 99.26
_cell_angle_beta 99.26
_cell_angle_gamma 132.70
loop_
_atom_site_label
_atom_site_type_symbol
_atom_site_fract_x
_atom_site_fract_y
_atom_site_fract_z
_atom_site_occupancy
Dy1 Dy 0.000 0.000 0.000 1
Dy2 Dy 0.039 0.416 0.913 1
Dy3 Dy 0.125 0.039 0.622 1
Dy4 Dy 0.416 0.503 0.378 1
Dy5 Dy 0.503 0.125 0.087 1
Ho1 Ho 0.541 0.541 0.000 1
Er1 Er 0.116 0.722 0.298 1
Er2 Er 0.424 0.818 0.702 1
Er3 Er 0.722 0.424 0.606 1
Er4 Er 0.818 0.116 0.394 1
# Raw total energy = -42.730 eV per formula unit
# Formation enthalpy at 0 K = 0.31 eV/atom
# N(E_F) = 14.5 states/eV/f.u.



- Which of these has the lowest raw total energy?
  Dy6HoEr12